Compound: NaAlSiO4
Source: the Alexandria database
Functional: PBE
Structure: optimized geometry

Properties
formation energy from raw total energies = -2.75 eV per atom
symmetry = Pca2_1 (29)
volume = 13.77 A^3/atom

a = 5.2264 Å, b = 10.4067 Å, c = 14.1753 Å
α = 90.00°, β = 90.00°, γ = 90.00°
Positions (direct):
Na 0.0474 0.5245 0.2529
Na 0.0474 0.9755 0.7529
Na 0.5545 0.7144 0.5012
Na 0.9526 0.0245 0.2529
Na 0.4455 0.2144 0.5012
Na 0.9526 0.4755 0.7529
Na 0.5545 0.7856 0.0012
Na 0.4455 0.2856 0.0012
Al 0.4558 0.2783 0.7505
Al 0.0575 0.4740 0.5024
Al 0.0575 0.0260 0.0024
Al 0.5442 0.7217 0.2505
Al 0.9425 0.5260 0.0024
Al 0.5442 0.7783 0.7505
Al 0.9425 0.9740 0.5024
Al 0.4558 0.2217 0.2505
Si 0.4442 0.9705 0.3760
Si 0.4442 0.5295 0.8760
Si 0.0438 0.7236 0.6272
Si 0.9562 0.2236 0.6272
Si 0.0438 0.7764 0.1272
Si 0.5558 0.4705 0.3760
Si 0.9562 0.2764 0.1272
Si 0.5558 0.0295 0.8760
O 0.8703 0.7636 0.7189
O 0.5136 0.1809 0.8500
O 0.8703 0.7364 0.2189
O 0.3727 0.9916 0.9656
O 0.4862 0.9398 0.7842
O 0.3468 0.7451 0.6523
O 0.0143 0.0730 0.6004
O 0.1297 0.2364 0.2189
O 0.0383 0.3115 0.5364
O 0.4862 0.5602 0.2842
O 0.0383 0.1885 0.0364
O 0.6532 0.2549 0.1523
O 0.1471 0.0018 0.4052
O 0.5138 0.0602 0.2842
O 0.3468 0.7549 0.1523
O 0.5138 0.4398 0.7842
O 0.4864 0.8191 0.3500
O 0.6273 0.4916 0.9656
O 0.1297 0.2636 0.7189
O 0.5136 0.3191 0.3500
O 0.6273 0.0084 0.4656
O 0.8529 0.5018 0.4052
O 0.8529 0.9982 0.9052
O 0.4864 0.6809 0.8500
O 0.3727 0.5084 0.4656
O 0.1471 0.4982 0.9052
O 0.9857 0.9270 0.1004
O 0.9617 0.6885 0.0364
O 0.6532 0.2451 0.6523
O 0.9617 0.8115 0.5364
O 0.0143 0.4270 0.1004
O 0.9857 0.5730 0.6004



Compound: Mn2Tl2SbS6
Source: the Alexandria database
Functional: PBE
Structure: optimized geometry

Properties
formation energy from raw total energies = -0.42 eV per atom
symmetry = C2/m (12)
volume = 23.53 A^3/atom

a = 6.3249 Å, b = 6.3249 Å, c = 7.7209 Å
α = 97.09°, β = 97.09°, γ = 120.12°
Each line ends with the local moment (μB).
Positions (direct):
Mn 0.3323 0.6677 0.5000  3.40
Mn 0.6677 0.3323 0.5000  3.40
Tl 0.8407 0.1593 0.0000  0.02
Tl 0.1593 0.8407 0.0000  0.02
Sb 0.0000 0.0000 0.5000  0.00
S 0.6895 0.6895 0.6812  -0.06
S 0.0541 0.4162 0.6824  -0.06
S 0.3105 0.3105 0.3188  -0.06
S 0.4162 0.0541 0.6824  -0.06
S 0.9459 0.5838 0.3176  -0.06
S 0.5838 0.9459 0.3176  -0.06



Compound: Hg5Sb2I6
Source: the Alexandria database
Functional: PBE
Structure: optimized geometry

Properties
formation energy from raw total energies = -0.22 eV per atom
symmetry = Pna2_1 (33)
volume = 39.70 A^3/atom

a = 8.4153 Å, b = 11.2531 Å, c = 21.8006 Å
α = 90.00°, β = 90.00°, γ = 90.00°
Positions (direct):
Hg 0.9038 0.7714 0.1742
Hg 0.0962 0.2714 0.8258
Hg 0.5962 0.7714 0.6742
Hg 0.4038 0.2714 0.3258
Hg 0.1631 0.6567 0.7703
Hg 0.8369 0.1567 0.2297
Hg 0.3369 0.6567 0.2703
Hg 0.6631 0.1567 0.7297
Hg 0.9488 0.5067 0.6032
Hg 0.0512 0.0067 0.3968
Hg 0.5512 0.5067 0.1032
Hg 0.4488 0.0067 0.8968
Hg 0.2400 0.6405 0.4787
Hg 0.7600 0.1405 0.5213
Hg 0.2600 0.6405 0.9787
Hg 0.7400 0.1405 0.0213
Hg 0.0863 0.9011 0.6108
Hg 0.9137 0.4011 0.3892
Hg 0.4137 0.9011 0.1108
Hg 0.5863 0.4011 0.8892
Sb 0.2298 0.5117 0.0853
Sb 0.7702 0.0117 0.9147
Sb 0.2702 0.5117 0.5853
Sb 0.7298 0.0117 0.4147
Sb 0.2215 0.7245 0.1590
Sb 0.7785 0.2245 0.8410
Sb 0.2785 0.7245 0.6590
Sb 0.7215 0.2245 0.3410
I 0.7960 0.7842 0.5583
I 0.2040 0.2842 0.4417
I 0.7040 0.7842 0.0583
I 0.2960 0.2842 0.9417
I 0.2626 0.0090 0.2952
I 0.7374 0.5090 0.7048
I 0.2374 0.0090 0.7952
I 0.7626 0.5090 0.2048
I 0.0036 0.6120 0.8771
I 0.9964 0.1120 0.1229
I 0.4964 0.6120 0.3771
I 0.5036 0.1120 0.6229
I 0.4926 0.1448 0.1198
I 0.5074 0.6448 0.8802
I 0.0074 0.1448 0.6198
I 0.9926 0.6448 0.3802
I 0.7128 0.4112 0.5125
I 0.2872 0.9112 0.4875
I 0.7872 0.4112 0.0125
I 0.2128 0.9112 0.9875
I 0.3081 0.3827 0.7466
I 0.6919 0.8827 0.2534
I 0.1919 0.3827 0.2466
I 0.8081 0.8827 0.7534



Compound: CdSbTe2
Source: the Alexandria database
Functional: PBE
Structure: optimized geometry

Properties
formation energy from raw total energies = 0.17 eV per atom
symmetry = Cmm2 (35)
volume = 29.18 A^3/atom

a = 3.5318 Å, b = 3.5318 Å, c = 9.8617 Å
α = 90.00°, β = 90.00°, γ = 108.42°
Positions (direct):
Sb 0.5000 0.5000 0.7341
Te 0.0000 0.0000 0.9651
Te 0.5000 0.5000 0.2942
Cd 0.0000 0.0000 0.5065



Compound: SiSb2Pd
Source: the Alexandria database
Functional: PBE
Structure: optimized geometry

Properties
formation energy from raw total energies = 0.33 eV per atom
symmetry = R-3m (166)
volume = 24.47 A^3/atom

a = 3.6246 Å, b = 3.6246 Å, c = 8.8534 Å
α = 78.19°, β = 78.19°, γ = 60.00°
Positions (direct):
Sb 0.0990 0.0990 0.7030
Sb 0.9010 0.9010 0.2970
Si 0.5000 0.5000 0.5000
Pd 0.0000 0.0000 0.0000



Compound: SnHgBiPb
Source: the Alexandria database
Functional: PBE
Structure: optimized geometry

Properties
formation enthalpy at 0 K = 0.055 eV/atom
symmetry = F-43m (216)
volume = 29.95 A^3/atom

a = 5.5335 Å, b = 5.5335 Å, c = 5.5335 Å
α = 60.00°, β = 60.00°, γ = 60.00°
Positions (direct):
Pb 0.7500 0.7500 0.7500
Bi 0.5000 0.5000 0.5000
Sn 0.2500 0.2500 0.2500
Hg 0.0000 0.0000 0.0000



Compound: LiCo2BAs
Source: the Alexandria database
Functional: PBE
Structure: optimized geometry

Properties
formation enthalpy at 0 K = -0.120 eV/atom
symmetry = P1 (1)
volume = 10.89 A^3/atom

a = 2.9536 Å, b = 3.9503 Å, c = 5.2699 Å
α = 79.11°, β = 73.64°, γ = 68.00°
Positions (direct):
Li 0.9844 0.9388 0.5855
Co 0.1584 0.3334 0.8410
Co 0.7521 0.8598 0.1273
B 0.4366 0.7228 0.8956
As 0.3745 0.4080 0.3367



Compound: Na12Te3Br5
Source: the Alexandria database
Functional: PBE
Structure: optimized geometry

Properties
formation energy from raw total energies = -1.11 eV per atom
symmetry = Ia-3d (230)
volume = 34.64 A^3/atom

a = 15.3257 Å, b = 15.3257 Å, c = 15.3257 Å
α = 109.47°, β = 109.47°, γ = 109.47°
Positions (direct):
Te 0.7500 0.3750 0.1250
Te 0.8750 0.7500 0.1250
Te 0.3750 0.7500 0.6250
Te 0.2500 0.1250 0.3750
Te 0.8750 0.1250 0.2500
Te 0.3750 0.6250 0.2500
Te 0.6250 0.3750 0.7500
Te 0.1250 0.8750 0.7500
Te 0.7500 0.8750 0.6250
Te 0.6250 0.2500 0.3750
Te 0.1250 0.2500 0.8750
Te 0.2500 0.6250 0.8750
Br 0.1250 0.3750 0.2500
Br 0.0000 0.5000 0.0000
Br 0.0000 0.0000 0.0000
Br 0.3750 0.2500 0.1250
Br 0.5000 0.0000 0.5000
Br 0.5000 0.5000 0.0000
Br 0.1250 0.7500 0.3750
Br 0.7500 0.1250 0.8750
Br 0.7500 0.6250 0.3750
Br 0.3750 0.1250 0.7500
Br 0.6250 0.8750 0.2500
Br 0.5000 0.5000 0.5000
Br 0.5000 0.0000 0.0000
Br 0.0000 0.0000 0.5000
Br 0.2500 0.3750 0.6250
Br 0.2500 0.8750 0.1250
Br 0.0000 0.5000 0.5000
Br 0.8750 0.2500 0.6250
Br 0.6250 0.7500 0.8750
Br 0.8750 0.6250 0.7500
Na 0.7244 0.1391 0.0525
Na 0.3282 0.5525 0.4134
Na 0.9475 0.3609 0.2756
Na 0.5525 0.2244 0.1391
Na 0.5853 0.7244 0.6718
Na 0.9475 0.5866 0.1718
Na 0.3282 0.7756 0.4147
Na 0.0866 0.9147 0.1391
Na 0.5866 0.9475 0.6718
Na 0.7244 0.5853 0.1718
Na 0.7756 0.4475 0.3609
Na 0.8282 0.9134 0.0525
Na 0.1391 0.7244 0.5525
Na 0.3609 0.4134 0.0853
Na 0.0853 0.9134 0.3609
Na 0.4147 0.1391 0.5866
Na 0.0853 0.1718 0.2244
Na 0.4475 0.6718 0.0866
Na 0.8282 0.9147 0.2756
Na 0.1391 0.4147 0.0866
Na 0.3609 0.9475 0.7756
Na 0.5866 0.6391 0.4147
Na 0.9134 0.8282 0.5525
Na 0.7756 0.3282 0.9147
Na 0.4134 0.3609 0.5853
Na 0.0866 0.1718 0.4475
Na 0.2244 0.6718 0.0853
Na 0.1718 0.0853 0.7244
Na 0.6391 0.0525 0.2244
Na 0.8609 0.5853 0.9134
Na 0.5525 0.3282 0.9134
Na 0.5853 0.8609 0.4134
Na 0.9147 0.8282 0.7756
Na 0.9147 0.0866 0.6391
Na 0.8609 0.2756 0.4475
Na 0.1718 0.0866 0.9475
Na 0.6391 0.5866 0.9147
Na 0.4134 0.0525 0.3282
Na 0.2756 0.4147 0.8282
Na 0.2244 0.5525 0.6391
Na 0.9134 0.0853 0.8609
Na 0.6718 0.2244 0.5853
Na 0.4475 0.7756 0.8609
Na 0.0525 0.4134 0.8282
Na 0.4147 0.2756 0.3282
Na 0.0525 0.6391 0.7244
Na 0.6718 0.4475 0.5866
Na 0.2756 0.8609 0.9475



| no. | DFT total energy (eV per atom) |
| --- | --- |
| 1 | -7.0830 |
| 2 | -5.1456 |
| 3 | -1.6882 |
| 4 | -2.6618 |
| 5 | -4.3855 |
| 6 | -2.9184 |
| 7 | -5.6101 |
| 8 | -2.7931 |